An optimized crystal structure of KSm2C, computed with PBE-GGA.

Computed properties:
- Raw total energy: -4.926 eV/atom
- Fermi-level density of states: 3.3 states/eV/f.u.
- Magnetization: 0.00 μB/f.u.
- Space-group type: R-3m, No. 166

Geometry as extended XYZ:
```
4
Lattice="1.848 1.067 10.869 -1.848 1.067 10.869 0.000 -2.134 10.869" Properties=species:S:1:pos:R:3 pbc="T T T"
K 0.000 0.000 0.000
Sm 0.000 0.000 4.062
Sm 0.000 0.000 28.546
C 0.000 0.000 16.304
```